No. 1
VASP calculation (PBE-GGA) on a geometry-optimized LiTmCuSi2 structure.

For the density of states at the Fermi level, the calculation gives 2.70 states/eV/cell. The value obtained for the raw formation energy is -530 meV/atom.

The space group is I-4m2 (No. 119) and the conventional cell measures 3.929, 3.929 and 10.304 Å, with angles of 90.00, 90.00 and 90.00 degrees. Symmetry generates all atoms from Li at (0.000, 0.000, 0.000), Tm at (0.000, 0.500, 0.750), Cu at (0.000, 0.000, 0.500) and Si at (0.000, 0.500, 0.137).

No. 2
VASP calculation (PBE-GGA) on a geometry-optimized PaFeSe structure.

For the density of states at the Fermi level, the calculation gives 3.67 states/eV/cell. The value obtained for the raw formation energy is -676 meV/atom.

The space group is P2_1/m (No. 11) and the conventional cell measures 4.847, 4.163 and 6.165 Å, with angles of 90.00, 95.90 and 90.00 degrees. Symmetry generates all atoms from Pa at (0.249, 0.250, 0.341), Fe at (0.313, 0.750, 0.685) and Se at (0.188, 0.250, 0.831).